Entry 1:
5
Lattice="5.8920 0.0000 0.0000 0.0000 5.8920 0.0000 2.9460 2.9460 4.2407" Properties=species:S:1:pos:R:3 comment="La2MgAu2 (PBE, optimized geometry)" total_magnetization_mub_per_fu=0.000 crystal_system=tetragonal ef_ev_per_atom=-0.4989 density_g_cm3=7.85 pbc="T T T"
Au 5.8920 5.8920 2.9131
Au 2.9460 2.9460 1.3276
Mg 0.0000 0.0000 0.0000
La 2.9460 5.8920 2.1204
La 5.8920 2.9460 2.1204

=====

Entry 2:
12
Lattice="4.3959 0.0000 0.0000 0.0000 7.7116 0.0000 0.0000 0.0000 8.7037" Properties=species:S:1:pos:R:3 comment="LaMg4Au (PBE, optimized geometry)" total_magnetization_mub_per_fu=0.000 crystal_system=orthorhombic ef_ev_per_atom=-0.3546 density_g_cm3=4.87 de_polymorph_mev_per_atom=0.0 pbc="T T T"
Mg 2.1980 2.3361 8.1804
Mg 2.1980 5.3756 0.5234
Mg 0.0000 0.0000 0.0000
Mg 2.1980 5.3756 3.8285
Mg 2.1980 0.3843 2.1759
Mg 2.1980 2.3361 4.8752
Mg 0.0000 0.0000 4.3519
Mg 2.1980 7.3273 6.5278
La 0.0000 3.0349 2.1759
La 0.0000 4.6767 6.5278
Au 0.0000 6.1387 2.1759
Au 0.0000 1.5730 6.5278